5
Lattice="3.809 0.000 0.000 0.000 3.809 0.000 0.000 0.000 3.809" Properties=species:S:1:pos:R:3 comment="PBE VB3Ru, relaxed" formation_enthalpy_0k_ev_per_fu=6.76 spacegroup="No. 221" dft_energy_ev_per_atom=-6.332 pbc="T T T"
Ru 1.905 1.905 1.905
B 0.000 1.905 0.000
B 0.000 0.000 1.905
B 1.905 0.000 0.000
V 0.000 0.000 0.000

=====

4
Lattice="2.918 0.000 0.000 0.000 4.579 0.000 0.000 0.000 5.371" Properties=species:S:1:pos:R:3 comment="PBE CaTaRh2, relaxed" formation_enthalpy_0k_ev_per_fu=-0.34 spacegroup="No. 25" dft_energy_ev_per_atom=-7.225 pbc="T T T"
Ca 1.459 2.289 4.346
Rh 0.000 0.000 5.046
Rh 1.459 2.289 1.660
Ta 0.000 0.000 2.375

=====

4
Lattice="-1.555 -0.223 4.009 -2.979 -2.946 0.993 1.026 -3.333 2.525" Properties=species:S:1:pos:R:3 comment="PBE ScNi2Mo, relaxed" formation_enthalpy_0k_ev_per_fu=0.35 spacegroup="No. 216" dft_energy_ev_per_atom=-7.093 pbc="T T T"
Mo -1.754 -3.251 3.763
Ni 0.000 0.000 0.000
Ni -0.877 -1.625 1.882
Sc -2.631 -4.876 5.645

=====

5
Lattice="5.082 0.000 0.000 0.000 5.082 0.000 0.000 0.000 5.082" Properties=species:S:1:pos:R:3 comment="PBE KSc3Mn, relaxed" formation_enthalpy_0k_ev_per_fu=2.04 spacegroup="No. 221" dft_energy_ev_per_atom=-5.443 pbc="T T T"
Sc 0.000 2.541 0.000
Sc 0.000 0.000 2.541
Sc 2.541 0.000 0.000
K 2.541 2.541 2.541
Mn 0.000 0.000 0.000